1.
Material: Ni2PRh
Method: DFT, PBE
State: relaxed

The value obtained for the energy of formation from the pure elements is -1.4 eV/f.u.

The space group is Cm (No. 8) and the conventional cell measures 5.462, 7.264 and 4.903 Å, with angles of 90.00, 90.45 and 90.00 degrees. The inequivalent atoms are Ni at (0.000, 0.000, 0.000), Ni at (0.083, 0.314, 0.215), Ni at (0.396, 0.500, 0.484), P at (0.128, 0.500, 0.846), P at (0.275, 0.000, 0.335) and Rh at (0.313, 0.195, 0.715).


2.
Material: NiP2Rh
Method: DFT, PBE
State: relaxed

Its distance to the lowest polymorph of the same formula is 130 meV per atom. The value obtained for the energy of formation from the pure elements is -1.2 eV/f.u.

The space group is P4mm (No. 99) and the conventional cell measures 3.289, 3.289 and 4.855 Å, with angles of 90.00, 90.00 and 90.00 degrees. The inequivalent atoms are Ni at (0.000, 0.000, 0.000), P at (0.000, 0.000, 0.487), P at (0.500, 0.500, 0.125) and Rh at (0.500, 0.500, 0.640).


3.
Material: Ni2PRh
Method: DFT, PBE
State: relaxed

The value obtained for the energy of formation from the pure elements is -1.5 eV/f.u.

The space group is Pm (No. 6) and the conventional cell measures 5.438, 3.639 and 5.585 Å, with angles of 90.00, 117.80 and 90.00 degrees. The inequivalent atoms are Ni at (0.000, 0.000, 0.000), Ni at (0.105, 0.500, 0.735), Ni at (0.404, 0.500, 0.233), Ni at (0.655, 0.500, 0.944), P at (0.055, 0.500, 0.316), P at (0.389, 0.000, 0.970), Rh at (0.389, 0.000, 0.560) and Rh at (0.803, 0.000, 0.376).


4.
Material: Ni4PRh
Method: DFT, PBE
State: relaxed

The value obtained for the energy of formation from the pure elements is 1.4 eV/f.u.

The space group is F-43m (No. 216) and the conventional cell measures 6.618, 6.618 and 6.618 Å, with angles of 90.00, 90.00 and 90.00 degrees. The inequivalent atoms are Ni at (0.125, 0.125, 0.125), P at (0.000, 0.000, 0.500) and Rh at (0.250, 0.250, 0.750).


5.
Material: NiP2Rh
Method: DFT, PBE
State: relaxed

Its distance to the lowest polymorph of the same formula is 518 meV per atom. The value obtained for the energy of formation from the pure elements is 0.3 eV/f.u.

The space group is Cmmm (No. 65) and the conventional cell measures 2.731, 5.028 and 7.785 Å, with angles of 90.00, 90.00 and 90.00 degrees. The inequivalent atoms are Ni at (0.000, 0.000, 0.000), P at (0.000, 0.500, 0.240) and Rh at (0.000, 0.000, 0.500).


6.
Material: NiP2Rh
Method: DFT, PBE
State: relaxed

Its distance to the lowest polymorph of the same formula is 260 meV per atom. The value obtained for the energy of formation from the pure elements is -0.7 eV/f.u.

The space group is R3m (No. 160, hexagonal axes) and the conventional cell measures 3.0435, 3.0435 and 20.6171 Å, with angles of 90.00, 90.00 and 120.00 degrees. The inequivalent atoms are Ni at (0.0000, 0.0000, 0.0000), P at (0.0000, 0.0000, 0.4896), P at (0.0000, 0.0000, 0.7295) and Rh at (0.0000, 0.0000, 0.2278).


7.
Material: Ni2PRh
Method: DFT, PBE
State: relaxed

The value obtained for the energy of formation from the pure elements is -1.9 eV/f.u.

The space group is Cmcm (No. 63) and the conventional cell measures 3.512, 8.081 and 6.698 Å, with angles of 90.00, 90.00 and 90.00 degrees. The inequivalent atoms are Ni at (0.000, 0.147, 0.058), P at (0.000, 0.261, 0.750) and Rh at (0.000, 0.443, 0.250).


8.
Material: NiP2Rh
Method: DFT, PBE
State: relaxed

Its distance to the lowest polymorph of the same formula is 352 meV per atom. The value obtained for the energy of formation from the pure elements is -0.4 eV/f.u.

The space group is Imm2 (No. 44) and the conventional cell measures 2.963, 4.184 and 8.361 Å, with angles of 90.00, 90.00 and 90.00 degrees. The inequivalent atoms are Ni at (0.000, 0.000, 0.000), P at (0.000, 0.000, 0.470), P at (0.000, 0.500, 0.715) and Rh at (0.000, 0.500, 0.203).


9.
Material: NiP2Rh
Method: DFT, PBE
State: relaxed

Its distance to the lowest polymorph of the same formula is 336 meV per atom. The value obtained for the energy of formation from the pure elements is -0.4 eV/f.u.

The space group is Fm-3m (No. 225) and the conventional cell measures 5.882, 5.882 and 5.882 Å, with angles of 90.00, 90.00 and 90.00 degrees. The inequivalent atoms are Ni at (0.000, 0.000, 0.000), P at (0.250, 0.250, 0.250) and Rh at (0.000, 0.000, 0.500).


10.
Material: Ni3PRh
Method: DFT, PBE
State: relaxed

The value obtained for the energy of formation from the pure elements is 7.1 eV/f.u.

The space group is Pm-3m (No. 221) and the conventional cell measures 4.490, 4.490 and 4.490 Å, with angles of 90.00, 90.00 and 90.00 degrees. The inequivalent atoms are Ni at (0.000, 0.000, 0.500), P at (0.500, 0.500, 0.500) and Rh at (0.000, 0.000, 0.000).


> Look up the energy of formation from the pure elements of the tenth one.

7.1 eV/f.u.


> Which formula does entry 6 have?

NiP2Rh